No. 1
{"formula": "Ca2CoAgN", "functional": "PBE", "state": "relaxed", "space_group": "P4/mmm", "e_form_raw_kj_per_mol_atoms": -47.8, "cell": [[-0.108, 4.998, -0.994], [-1.272, 0.936, 4.846], [3.444, 0.245, 0.857]], "species": ["Ca", "Ca", "N", "Co", "Ag"], "fractional_positions": [[0.000, 0.500, 0.000], [0.500, 0.000, 0.000], [0.000, 0.000, 0.000], [0.000, 0.000, 0.500], [0.500, 0.500, 0.500]]}

No. 2
{"formula": "Pr2ErTm", "functional": "PBE", "state": "relaxed", "space_group": "P4/mmm", "e_above_lowest_polymorph_mev_per_atom": 7, "cell": [[3.635, 0.000, 0.000], [0.000, 3.635, 0.000], [0.000, 0.000, 10.024]], "species": ["Pr", "Pr", "Tm", "Er"], "fractional_positions": [[0.000, 0.000, 0.249], [0.000, 0.000, 0.751], [0.500, 0.500, 0.000], [0.500, 0.500, 0.500]]}

No. 3
{"formula": "NiSe4Cl", "functional": "PBE", "state": "relaxed", "space_group": "F-43m", "e_form_raw_kj_per_mol_atoms": 69.8, "e_above_lowest_polymorph_mev_per_atom": 739, "cell": [[0.000, 3.975, 3.975], [3.975, 0.000, 3.975], [3.975, 3.975, 0.000]], "species": ["Se", "Se", "Se", "Se", "Ni", "Cl"], "fractional_positions": [[0.874, 0.375, 0.375], [0.375, 0.874, 0.375], [0.375, 0.375, 0.375], [0.375, 0.375, 0.874], [0.000, 0.000, 0.000], [0.750, 0.750, 0.750]]}

No. 4
{"formula": "RbYC2O6", "functional": "PBE", "state": "relaxed", "space_group": "C2/c", "e_form_raw_kj_per_mol_atoms": -206.3, "cell": [[6.477, 0.146, -0.021], [-0.648, 6.446, -0.021], [-1.709, -1.932, 6.753]], "species": ["O", "O", "O", "O", "O", "O", "O", "O", "O", "O", "O", "O", "C", "C", "C", "C", "Y", "Y", "Rb", "Rb"], "fractional_positions": [[0.219, 0.271, 0.126], [0.299, 0.537, 0.403], [0.701, 0.463, 0.597], [0.271, 0.219, 0.626], [0.051, 0.600, 0.757], [0.781, 0.729, 0.874], [0.400, 0.949, 0.743], [0.537, 0.299, 0.903], [0.600, 0.051, 0.257], [0.729, 0.781, 0.374], [0.463, 0.701, 0.097], [0.949, 0.400, 0.243], [0.401, 0.149, 0.757], [0.599, 0.851, 0.243], [0.149, 0.401, 0.257], [0.851, 0.599, 0.743], [0.594, 0.406, 0.250], [0.406, 0.594, 0.750], [0.890, 0.110, 0.750], [0.110, 0.890, 0.250]]}

Q: What is the formula in the fourth record?
A: RbYC2O6